Entry 1:
VASP calculation (GGA-PBE) on an optimized crystal structure of BaMgCu2.

Computed properties:
ΔE_f in meV per atom: 230
Space-group type: P4/mmm
Mass density in g/cm3: 5.1
E_tot in eV per cell: -10.8
Magnetic moment in μB/f.u.: 0.000

a b c (Å): 5.155 5.155 3.551
angles (deg): 90.00 90.00 89.96
Positions (direct):
Ba 0.000 0.500 0.500
Cu 0.000 0.000 0.000
Cu 0.500 0.500 0.000
Mg 0.500 0.000 0.500

Entry 2:
VASP calculation (GGA-PBE) on an optimized crystal structure of Ho3Cu5S12.

Computed properties:
Uncorrected formation energy in eV/atom: -0.682
Space-group type: Ia-3d
Mass density in g/cm3: 5.1
E_tot in eV per cell: -389.5
Magnetic moment in μB/f.u.: 0.000

a b c (Å): 12.690 12.690 12.690
angles (deg): 109.47 109.47 109.47
Positions (direct):
S 0.706 0.123 0.032
S 0.326 0.532 0.408
S 0.968 0.377 0.294
S 0.532 0.206 0.123
S 0.583 0.706 0.674
S 0.968 0.592 0.174
S 0.326 0.794 0.417
S 0.092 0.917 0.123
S 0.592 0.968 0.674
S 0.706 0.583 0.174
S 0.794 0.468 0.377
S 0.826 0.908 0.032
S 0.123 0.706 0.532
S 0.377 0.408 0.083
S 0.083 0.908 0.377
S 0.417 0.123 0.592
S 0.083 0.174 0.206
S 0.468 0.674 0.092
S 0.826 0.917 0.294
S 0.123 0.417 0.092
S 0.377 0.968 0.794
S 0.592 0.623 0.417
S 0.908 0.826 0.532
S 0.794 0.326 0.917
S 0.408 0.377 0.583
S 0.092 0.174 0.468
S 0.206 0.674 0.083
S 0.174 0.083 0.706
S 0.623 0.032 0.206
S 0.877 0.583 0.908
S 0.532 0.326 0.908
S 0.583 0.877 0.408
S 0.917 0.826 0.794
S 0.917 0.092 0.623
S 0.877 0.294 0.468
S 0.174 0.092 0.968
S 0.623 0.592 0.917
S 0.408 0.032 0.326
S 0.294 0.417 0.826
S 0.206 0.532 0.623
S 0.908 0.083 0.877
S 0.674 0.206 0.583
S 0.468 0.794 0.877
S 0.032 0.408 0.826
S 0.417 0.294 0.326
S 0.032 0.623 0.706
S 0.674 0.468 0.592
S 0.294 0.877 0.968
Ho 0.750 0.375 0.125
Ho 0.875 0.750 0.125
Ho 0.375 0.750 0.625
Ho 0.250 0.125 0.375
Ho 0.875 0.125 0.250
Ho 0.375 0.625 0.250
Ho 0.625 0.375 0.750
Ho 0.125 0.875 0.750
Ho 0.750 0.875 0.625
Ho 0.625 0.250 0.375
Ho 0.125 0.250 0.875
Ho 0.250 0.625 0.875
Cu 0.125 0.375 0.250
Cu 0.000 0.500 0.000
Cu 0.000 0.000 0.000
Cu 0.375 0.250 0.125
Cu 0.500 0.000 0.500
Cu 0.500 0.500 0.000
Cu 0.125 0.750 0.375
Cu 0.750 0.125 0.875
Cu 0.750 0.625 0.375
Cu 0.375 0.125 0.750
Cu 0.625 0.875 0.250
Cu 0.500 0.500 0.500
Cu 0.500 0.000 0.000
Cu 0.000 0.000 0.500
Cu 0.250 0.375 0.625
Cu 0.250 0.875 0.125
Cu 0.000 0.500 0.500
Cu 0.875 0.250 0.625
Cu 0.625 0.750 0.875
Cu 0.875 0.625 0.750

Entry 3:
VASP calculation (GGA-PBE) on an optimized crystal structure of MgScTc2Br.

Computed properties:
Uncorrected formation energy in eV/atom: 1.132
Space-group type: P4/mmm
Mass density in g/cm3: 4.7
E_tot in eV per cell: -24.7
Magnetic moment in μB/f.u.: 4.129

a b c (Å): 4.822 4.822 5.227
angles (deg): 90.00 90.00 90.00
Site moments in Bohr magnetons follow the coordinates.
Positions (direct):
Sc 0.000 0.000 0.000  -0.17
Mg 0.500 0.500 0.500  -0.04
Tc 0.000 0.500 0.000  1.89
Tc 0.500 0.000 0.000  1.89
Br 0.000 0.000 0.500  0.07

Entry 4:
VASP calculation (GGA-PBE) on an optimized crystal structure of K2Cd2F.

Computed properties:
Uncorrected formation energy in eV/atom: -0.571
Space-group type: I4/mmm
Mass density in g/cm3: 2.5
E_tot in eV per cell: -8.8
Magnetic moment in μB/f.u.: 0.000
ΔE to the lowest computed polymorph in meV per atom: 351

a b c (Å): 7.098 7.098 6.570
angles (deg): 57.30 57.30 90.00
Positions (direct):
K 0.750 0.250 0.500
K 0.250 0.750 0.500
F 0.000 0.000 0.000
Cd 0.282 0.282 0.435
Cd 0.718 0.718 0.565

Entry 5:
VASP calculation (GGA-PBE) on an optimized crystal structure of ScZnTe2.

Computed properties:
Uncorrected formation energy in eV/atom: -0.392
Space-group type: Immm
Mass density in g/cm3: 6.3
E_tot in eV per cell: -15.5
Magnetic moment in μB/f.u.: 0.000

a b c (Å): 5.429 5.429 5.429
angles (deg): 135.15 119.01 78.81
Positions (direct):
Sc 0.250 0.750 0.500
Te 0.969 0.969 0.000
Te 0.531 0.531 0.000
Zn 0.750 0.250 0.500

Entry 6:
VASP calculation (GGA-PBE) on an optimized crystal structure of Pa3Sn2Se8.

Computed properties:
Uncorrected formation energy in eV/atom: -1.004
Space-group type: C2/m
Mass density in g/cm3: 6.3
E_tot in eV per cell: -77.4
Magnetic moment in μB/f.u.: 3.051

a b c (Å): 7.272 7.912 7.912
angles (deg): 64.28 88.61 88.61
Site moments in Bohr magnetons follow the coordinates.
Positions (direct):
Pa 0.000 0.000 0.000  0.89
Pa 0.500 0.750 0.250  0.91
Pa 0.500 0.250 0.750  0.91
Sn 0.964 0.723 0.723  0.04
Sn 0.036 0.277 0.277  0.04
Se 0.664 0.115 0.115  -0.03
Se 0.336 0.885 0.885  -0.03
Se 0.371 0.381 0.381  -0.03
Se 0.629 0.619 0.619  -0.03
Se 0.832 0.119 0.644  -0.03
Se 0.832 0.644 0.119  -0.03
Se 0.168 0.356 0.881  -0.03
Se 0.168 0.881 0.356  -0.03

Entry 7:
VASP calculation (GGA-PBE) on an optimized crystal structure of CrCoSe2.

Computed properties:
Uncorrected formation energy in eV/atom: 0.155
Space-group type: Fm-3m
Mass density in g/cm3: 7.2
E_tot in eV per cell: -23.1
Magnetic moment in μB/f.u.: 4.453
ΔE to the lowest computed polymorph in meV per atom: 540

a b c (Å): 4.437 4.437 4.437
angles (deg): 60.00 60.00 60.00
Site moments in Bohr magnetons follow the coordinates.
Positions (direct):
Cr 0.000 0.000 0.000  3.06
Co 0.500 0.500 0.500  1.38
Se 0.250 0.250 0.250  -0.09
Se 0.750 0.750 0.750  -0.09

Entry 8:
VASP calculation (GGA-PBE) on an optimized crystal structure of ZrFe2Si4.

Computed properties:
Uncorrected formation energy in eV/atom: -0.420
Space-group type: P4_2/mnm
Mass density in g/cm3: 5.4
E_tot in eV per cell: -100.2
Magnetic moment in μB/f.u.: 0.948

a b c (Å): 7.996 7.996 3.026
angles (deg): 90.00 90.00 90.00
Site moments in Bohr magnetons follow the coordinates.
Positions (direct):
Si 0.056 0.294 0.000  -0.01
Si 0.944 0.706 0.000  -0.01
Si 0.206 0.556 0.500  -0.01
Si 0.794 0.444 0.500  -0.01
Si 0.444 0.794 0.500  -0.01
Si 0.556 0.206 0.500  -0.01
Si 0.294 0.056 0.000  -0.01
Si 0.706 0.944 0.000  -0.01
Fe 0.225 0.775 0.000  0.52
Fe 0.775 0.225 0.000  0.52
Fe 0.725 0.725 0.500  0.52
Fe 0.275 0.275 0.500  0.52
Zr 0.000 0.000 0.500  0.00
Zr 0.500 0.500 0.000  0.00

Entry 9:
VASP calculation (GGA-PBE) on an optimized crystal structure of Rb3TlHg4.

Computed properties:
ΔE_f in meV per atom: -184
Space-group type: C2/m
Mass density in g/cm3: 6.3
E_tot in eV per cell: -7.9
Magnetic moment in μB/f.u.: 0.000

a b c (Å): 6.305 4.673 12.706
angles (deg): 68.31 104.37 90.00
Positions (direct):
Tl 0.500 0.000 0.000
Hg 0.594 0.312 0.188
Hg 0.406 0.688 0.812
Hg 0.320 0.360 0.641
Hg 0.680 0.640 0.359
Rb 0.000 0.500 0.000
Rb 0.812 0.876 0.624
Rb 0.188 0.124 0.376

Entry 10:
VASP calculation (GGA-PBE) on an optimized crystal structure of CrGaMo2.

Computed properties:
ΔE_f in meV per atom: 580
Space-group type: I-42d
Mass density in g/cm3: 8.1
E_tot in eV per cell: -64.0
Magnetic moment in μB/f.u.: 0.000

a b c (Å): 7.006 7.006 5.597
angles (deg): 51.25 51.25 90.00
Positions (direct):
Cr 0.500 0.500 0.000
Cr 0.250 0.750 0.500
Mo 0.579 0.125 0.250
Mo 0.171 0.625 0.250
Mo 0.375 0.421 0.750
Mo 0.875 0.829 0.750
Ga 0.000 0.000 0.000
Ga 0.750 0.250 0.500

Entry 11:
VASP calculation (GGA-PBE) on an optimized crystal structure of Tb15Dy4Tm.

Computed properties:
ΔE_f in meV per atom: 17
Space-group type: P4/mmm
Mass density in g/cm3: 8.4
E_tot in eV per cell: -92.0
Magnetic moment in μB/f.u.: 0.000

a b c (Å): 5.017 5.017 25.075
angles (deg): 90.00 90.00 90.00
Positions (direct):
Tb 0.500 0.500 0.000
Tb 0.500 0.500 0.199
Tb 0.500 0.500 0.400
Tb 0.500 0.500 0.600
Tb 0.500 0.500 0.801
Tb 0.500 0.000 0.099
Tb 0.500 0.000 0.300
Tb 0.500 0.000 0.500
Tb 0.500 0.000 0.700
Tb 0.500 0.000 0.901
Tb 0.000 0.500 0.099
Tb 0.000 0.500 0.300
Tb 0.000 0.500 0.500
Tb 0.000 0.500 0.700
Tb 0.000 0.500 0.901
Dy 0.000 0.000 0.200
Dy 0.000 0.000 0.400
Dy 0.000 0.000 0.600
Dy 0.000 0.000 0.800
Tm 0.000 0.000 0.000

Entry 12:
VASP calculation (GGA-PBE) on an optimized crystal structure of La6Ir2I2Cl.

Computed properties:
Uncorrected formation energy in eV/atom: -1.015
Space-group type: C2/m
Mass density in g/cm3: 6.6
E_tot in eV per cell: -63.4
Magnetic moment in μB/f.u.: 0.000

a b c (Å): 7.478 7.478 8.031
angles (deg): 98.41 98.41 118.41
Positions (direct):
La 0.687 0.687 0.711
La 0.072 0.421 0.699
La 0.313 0.313 0.289
La 0.421 0.072 0.699
La 0.928 0.579 0.301
La 0.579 0.928 0.301
Ir 0.329 0.671 0.500
Ir 0.671 0.329 0.500
I 0.841 0.159 0.000
I 0.159 0.841 0.000
Cl 0.000 0.000 0.500

Entry 13:
VASP calculation (GGA-PBE) on an optimized crystal structure of Ti5Se6.

Computed properties:
Uncorrected formation energy in eV/atom: -1.037
Space-group type: C2/m
Mass density in g/cm3: 5.7
E_tot in eV per cell: -71.8
Magnetic moment in μB/f.u.: 0.368

a b c (Å): 6.370 6.360 6.273
angles (deg): 80.55 70.85 59.95
Site moments in Bohr magnetons follow the coordinates.
Positions (direct):
Ti 0.500 0.000 0.500  -0.35
Ti 0.334 0.331 0.000  0.56
Ti 0.666 0.669 0.000  0.56
Ti 0.191 0.619 0.500  -0.24
Ti 0.809 0.381 0.500  -0.24
Se 0.763 0.000 0.745  0.01
Se 0.237 0.000 0.255  0.01
Se 0.390 0.687 0.762  0.00
Se 0.923 0.687 0.238  0.00
Se 0.610 0.313 0.238  0.00
Se 0.077 0.313 0.762  0.00

Entry 14:
VASP calculation (GGA-PBE) on an optimized crystal structure of LaTc2NiTe.

Computed properties:
Uncorrected formation energy in eV/atom: 1.996
Space-group type: P4/mmm
Mass density in g/cm3: 6.1
E_tot in eV per cell: -24.6
Magnetic moment in μB/f.u.: 3.275

a b c (Å): 4.797 6.126 4.797
angles (deg): 90.00 90.00 90.00
Site moments in Bohr magnetons follow the coordinates.
Positions (direct):
Ni 0.500 0.500 0.500  -0.09
Te 0.000 0.500 0.000  0.05
Tc 0.000 0.000 0.500  1.44
Tc 0.500 0.000 0.000  1.57
La 0.000 0.000 0.000  -0.05

Entry 15:
VASP calculation (GGA-PBE) on an optimized crystal structure of PaAl4Au8.

Computed properties:
ΔE_f in meV per atom: -364
Space-group type: I4/mmm
Mass density in g/cm3: 13.5
E_tot in eV per cell: -55.4
Magnetic moment in μB/f.u.: 0.518

a b c (Å): 5.493 7.100 7.100
angles (deg): 81.39 67.24 67.24
Site moments in Bohr magnetons follow the coordinates.
Positions (direct):
Pa 0.000 0.000 0.000  0.47
Al 0.000 0.000 0.500  0.00
Al 0.500 0.000 0.500  0.00
Al 0.000 0.500 0.000  0.00
Al 0.500 0.500 0.000  0.00
Au 0.000 0.326 0.674  0.00
Au 0.000 0.674 0.326  0.00
Au 0.326 0.674 0.674  0.00
Au 0.674 0.326 0.326  0.00
Au 0.500 0.784 0.216  0.00
Au 0.500 0.216 0.784  0.00
Au 0.284 0.216 0.216  0.00
Au 0.716 0.784 0.784  0.00

Entry 16:
VASP calculation (GGA-PBE) on an optimized crystal structure of YCuRe2.

Computed properties:
ΔE_f in meV per atom: 265
Space-group type: Imm2
Mass density in g/cm3: 12.8
E_tot in eV per cell: -34.4
Magnetic moment in μB/f.u.: 0.000
ΔE to the lowest computed polymorph in meV per atom: 182

a b c (Å): 4.602 4.602 4.602
angles (deg): 123.08 117.94 89.18
Positions (direct):
Cu 0.239 0.739 0.500
Re 0.987 0.987 0.000
Re 0.773 0.273 0.500
Y 0.502 0.502 0.000

Entry 17:
VASP calculation (GGA-PBE) on an optimized crystal structure of UTlIn2Te4.

Computed properties:
Uncorrected formation energy in eV/atom: -0.385
Space-group type: P2/m
Mass density in g/cm3: 7.0
E_tot in eV per cell: -34.8
Magnetic moment in μB/f.u.: 2.004

a b c (Å): 4.379 8.049 8.324
angles (deg): 72.63 90.00 90.00
Site moments in Bohr magnetons follow the coordinates.
Positions (direct):
U 0.000 0.500 0.500  2.17
Tl 0.500 0.500 0.000  -0.01
In 0.000 0.000 0.000  -0.02
In 0.500 0.000 0.500  0.03
Te 0.000 0.748 0.712  -0.04
Te 0.000 0.252 0.288  -0.04
Te 0.500 0.730 0.283  -0.06
Te 0.500 0.270 0.717  -0.06